[1]
Ga2Ag3Au5 | Alexandria | PBE | optimized geometry; density = 12.0 g/cm³; calculated total energy = -3.0566 eV/atom; space-group type = Ibam
1.0
5.637 0.000 0.000
2.819 8.308 -1.776
2.819 0.492 8.481
Ga Ag Au
4 6 10
Direct
0.128 0.729 0.015
0.872 0.271 0.985
0.628 0.015 0.729
0.372 0.985 0.271
0.250 0.000 0.000
0.750 0.000 0.000
0.378 0.425 0.818
0.622 0.575 0.182
0.878 0.818 0.425
0.122 0.182 0.575
0.250 0.500 0.500
0.750 0.500 0.500
0.499 0.751 0.751
0.001 0.249 0.249
0.501 0.249 0.249
0.999 0.751 0.751
0.140 0.528 0.193
0.860 0.472 0.807
0.640 0.193 0.528
0.360 0.807 0.472



[2]
Tb4Y4Tl | Alexandria | PBE | optimized geometry; density = 7.1 g/cm³; calculated total energy = -5.2397 eV/atom; space-group type = I4/mmm
1.0
-0.925 4.208 -2.220
-7.158 2.506 2.440
2.804 5.849 4.626
Tb Y Tl
4 4 1
Direct
0.663 0.337 0.337
0.337 0.663 0.663
0.000 0.663 0.337
0.000 0.337 0.663
0.661 0.678 0.000
0.339 0.322 0.000
0.661 0.000 0.678
0.339 0.000 0.322
0.000 0.000 0.000



[3]
AlBrCl2 | Alexandria | PBE | optimized geometry; polymorph energy (0 for the lowest one) = 80 meV per atom; density = 2.3 g/cm³; space-group type = Cmcm
1.0
3.353 0.000 0.000
-1.677 6.872 0.000
0.000 0.000 11.234
Al Br Cl
2 2 4
Direct
0.916 0.832 0.250
0.084 0.168 0.750
0.080 0.161 0.250
0.920 0.839 0.750
0.630 0.260 0.886
0.370 0.740 0.114
0.370 0.740 0.386
0.630 0.260 0.614



[4]
Ca3ScCo | Alexandria | PBE | optimized geometry; polymorph energy (0 for the lowest one) = 959 meV per atom; density = 1.9 g/cm³; space-group type = Pm-3m
1.0
5.844 0.000 0.000
0.000 5.844 0.000
0.000 0.000 5.844
Sc Ca Co
1 3 1
Direct
0.000 0.000 0.000
0.000 0.500 0.000
0.000 0.000 0.500
0.500 0.000 0.000
0.500 0.500 0.500



[5]
RbMgTa2Hg | Alexandria | PBE | optimized geometry; density = 6.7 g/cm³; calculated total energy = -3.4505 eV/atom; space-group type = P4/mmm
1.0
5.234 0.000 0.000
0.000 6.110 0.000
0.000 0.000 5.234
Mg Hg Rb Ta
1 1 1 2
Direct
0.500 0.500 0.500
0.000 0.000 0.000
0.000 0.500 0.000
0.000 0.000 0.500
0.500 0.000 0.000



[6]
TbSm2Se3 | Alexandria | PBE | optimized geometry; density = 7.6 g/cm³; calculated total energy = -5.8877 eV/atom; space-group type = Immm
1.0
-3.734 -1.458 -1.118
-0.458 -2.766 5.137
-0.605 7.136 0.455
Tb Sm Se
1 2 3
Direct
0.500 0.500 0.500
0.830 0.830 0.160
0.170 0.170 0.840
0.838 0.338 0.176
0.162 0.662 0.824
0.500 0.000 0.500



[7]
PmErLuMg | Alexandria | PBE | optimized geometry; density = 7.3 g/cm³; calculated total energy = -3.8335 eV/atom; space-group type = F-43m
1.0
5.488 0.000 0.000
2.744 4.752 0.000
2.744 1.584 4.481
Er Mg Lu Pm
1 1 1 1
Direct
0.750 0.750 0.750
0.500 0.500 0.500
0.000 0.000 0.000
0.250 0.250 0.250



[8]
Zn2CuTe | Alexandria | PBE | optimized geometry; polymorph energy (0 for the lowest one) = 157 meV per atom; density = 7.0 g/cm³; space-group type = Cmmm
1.0
4.688 0.006 0.000
-1.912 4.281 0.000
0.000 0.000 3.816
Cu Te Zn
1 1 2
Direct
0.500 0.000 0.500
0.000 0.500 0.500
0.000 0.000 0.000
0.500 0.500 0.000



[9]
LaPrZnCu | Alexandria | PBE | optimized geometry; polymorph energy (0 for the lowest one) = 9 meV per atom; density = 6.7 g/cm³; space-group type = F-43m
1.0
-0.958 -5.077 -0.814
2.493 -3.620 2.836
-2.615 -2.775 3.581
Pr Zn Cu La
1 1 1 1
Direct
0.000 0.000 0.000
0.750 0.750 0.750
0.250 0.250 0.250
0.500 0.500 0.500



[10]
Nd4Bi3Sb | Alexandria | PBE | optimized geometry; density = 8.1 g/cm³; calculated total energy = -5.3673 eV/atom; space-group type = Pm-3m
1.0
6.484 0.000 0.000
0.000 6.484 0.000
0.000 0.000 6.484
Sb Nd Bi
1 4 3
Direct
0.000 0.000 0.000
0.500 0.000 0.000
0.000 0.500 0.000
0.000 0.000 0.500
0.500 0.500 0.500
0.000 0.500 0.500
0.500 0.000 0.500
0.500 0.500 0.000



[11]
CeLuNiGe | Alexandria | PBE | optimized geometry; density = 8.8 g/cm³; calculated total energy = -5.6740 eV/atom; space-group type = F-43m
1.0
-4.175 0.495 2.569
-3.126 -3.790 0.375
-0.535 -2.335 4.305
Ni Ge Lu Ce
1 1 1 1
Direct
0.750 0.750 0.750
0.250 0.250 0.250
0.000 0.000 0.000
0.500 0.500 0.500



[12]
K12Te5S2 | Alexandria | PBE | optimized geometry; density = 2.2 g/cm³; calculated total energy = -2.8949 eV/atom; space-group type = C2/m
1.0
8.085 0.000 0.000
-4.042 9.108 -2.933
0.000 0.132 11.700
K Te S
12 5 2
Direct
0.938 0.875 0.202
0.079 0.654 0.901
0.575 0.654 0.901
0.099 0.687 0.434
0.588 0.687 0.434
0.492 0.983 0.789
0.508 0.017 0.211
0.901 0.313 0.566
0.412 0.313 0.566
0.921 0.346 0.099
0.425 0.346 0.099
0.062 0.125 0.798
0.310 0.620 0.657
0.327 0.655 0.158
0.000 0.000 0.500
0.673 0.345 0.842
0.690 0.380 0.343
0.867 0.000 0.000
0.133 0.000 0.000



[13]
Zr4In3Hg | Alexandria | PBE | optimized geometry; density = 8.6 g/cm³; calculated total energy = -5.6254 eV/atom; space-group type = I4/mmm
1.0
4.299 0.000 -1.160
-0.308 4.293 -1.140
0.233 0.206 9.407
Hg Zr In
1 4 3
Direct
0.500 0.000 0.000
0.375 0.375 0.750
0.625 0.625 0.250
0.125 0.125 0.250
0.875 0.875 0.750
0.000 0.500 0.000
0.750 0.250 0.500
0.250 0.750 0.500



[14]
Pm2ErCo | Alexandria | PBE | optimized geometry; polymorph energy (0 for the lowest one) = 52 meV per atom; density = 7.4 g/cm³; space-group type = Pnna
1.0
6.257 0.000 0.000
0.000 6.537 -0.003
0.000 0.005 11.307
Pm Er Co
8 4 4
Direct
0.746 0.912 0.913
0.254 0.088 0.087
0.246 0.588 0.587
0.754 0.412 0.413
0.746 0.412 0.087
0.254 0.588 0.913
0.246 0.088 0.413
0.754 0.912 0.587
0.250 0.582 0.250
0.750 0.418 0.750
0.750 0.918 0.250
0.250 0.082 0.750
0.000 0.250 0.589
0.000 0.750 0.411
0.500 0.250 0.911
0.500 0.750 0.089



[15]
Ho5TmCd4 | Alexandria | PBE | optimized geometry; density = 8.9 g/cm³; calculated total energy = -3.3381 eV/atom; space-group type = P4/mmm
1.0
3.646 0.000 0.000
0.000 3.646 0.000
0.000 0.000 20.341
Ho Tm Cd
5 1 4
Direct
0.500 0.500 0.118
0.500 0.500 0.311
0.500 0.500 0.500
0.500 0.500 0.689
0.500 0.500 0.882
0.000 0.000 0.000
0.000 0.000 0.215
0.000 0.000 0.405
0.000 0.000 0.595
0.000 0.000 0.785



[16]
YThCu4 | Alexandria | PBE | optimized geometry; polymorph energy (0 for the lowest one) = 0 meV per atom; density = 8.2 g/cm³; space-group type = I-4m2
1.0
-2.272 2.934 1.165
-2.383 -0.653 -3.003
-1.795 -6.057 5.260
Y Th Cu
1 1 4
Direct
0.250 0.750 0.500
0.000 0.000 0.000
0.672 0.172 0.343
0.581 0.581 0.161
0.828 0.328 0.657
0.419 0.419 0.839



[17]
CaRe3Cl | Alexandria | PBE | optimized geometry; polymorph energy (0 for the lowest one) = 2153 meV per atom; density = 7.3 g/cm³; space-group type = Pm-3m
1.0
-3.287 -3.792 -1.487
2.464 -3.373 3.154
-3.243 1.281 3.903
Re Ca Cl
3 1 1
Direct
0.000 0.500 0.000
0.000 0.000 0.500
0.500 0.000 0.000
0.000 0.000 0.000
0.500 0.500 0.500



[18]
K3LaI | Alexandria | PBE | optimized geometry; polymorph energy (0 for the lowest one) = 235 meV per atom; density = 1.5 g/cm³; space-group type = Pm-3m
1.0
-1.859 2.620 6.712
6.294 -2.784 2.829
3.507 6.384 -1.520
I K La
1 3 1
Direct
0.500 0.500 0.500
0.000 0.500 0.000
0.000 0.000 0.500
0.500 0.000 0.000
0.000 0.000 0.000



[19]
BeCoB | Alexandria | PBE | optimized geometry; polymorph energy (0 for the lowest one) = 52 meV per atom; density = 5.1 g/cm³; space-group type = F-43m
1.0
3.304 0.000 0.000
1.652 2.861 0.000
1.652 0.954 2.698
Be B Co
1 1 1
Direct
0.500 0.500 0.500
0.250 0.250 0.250
0.000 0.000 0.000



[20]
ScTaBe2 | Alexandria | PBE | optimized geometry; polymorph energy (0 for the lowest one) = 346 meV per atom; density = 6.6 g/cm³; space-group type = P2/m
1.0
3.071 0.000 0.000
0.000 5.531 0.008
0.000 3.553 3.640
Sc Be Ta
1 2 1
Direct
0.500 0.500 0.500
0.000 0.000 0.000
0.500 0.500 0.000
0.000 0.000 0.500



[21]
Na5Bi2 | Alexandria | PBE | optimized geometry; polymorph energy (0 for the lowest one) = 0 meV per atom; density = 4.1 g/cm³; space-group type = Ibam
1.0
-1.523 -4.389 4.945
8.077 -1.970 0.739
-2.395 8.751 2.374
Na Bi
10 4
Direct
0.082 0.230 0.164
0.918 0.770 0.836
0.582 0.934 0.164
0.418 0.066 0.836
0.486 0.736 0.472
0.014 0.264 0.528
0.514 0.264 0.528
0.986 0.736 0.472
0.750 0.500 0.000
0.250 0.500 0.000
0.375 0.636 0.749
0.625 0.364 0.251
0.875 0.114 0.749
0.125 0.886 0.251



[22]
Ce2PH2Cl | Alexandria | PBE | optimized geometry; density = 5.5 g/cm³; calculated total energy = -5.5041 eV/atom; space-group type = P-3m1
1.0
3.956 0.000 0.000
-1.978 3.426 0.000
0.000 0.000 7.759
Ce P H Cl
2 1 2 1
Direct
0.333 0.667 0.274
0.667 0.333 0.726
0.000 0.000 0.500
0.333 0.667 0.755
0.667 0.333 0.245
0.000 0.000 0.000



[23]
CrCo2Se | Alexandria | PBE | optimized geometry; density = 8.3 g/cm³; calculated total energy = -6.5313 eV/atom; space-group type = Cm
1.0
-1.562 -2.334 -3.396
1.111 -3.186 -2.836
-1.499 -3.155 2.359
Co Cr Se
2 1 1
Direct
0.017 0.017 0.981
0.751 0.751 0.748
0.484 0.484 0.533
0.249 0.249 0.238



[24]
Pm5NdPt6 | Alexandria | PBE | optimized geometry; density = 12.2 g/cm³; calculated total energy = -6.4719 eV/atom; space-group type = C2/m
1.0
-0.586 1.570 -4.823
-7.032 0.329 0.962
-3.150 8.204 0.403
Nd Pt Pm
1 6 5
Direct
0.000 0.000 0.000
0.832 0.581 0.336
0.832 0.083 0.336
0.500 0.748 0.000
0.500 0.252 0.000
0.168 0.917 0.664
0.168 0.419 0.664
0.667 0.167 0.667
0.334 0.333 0.334
0.000 0.500 0.000
0.666 0.667 0.666
0.333 0.833 0.333



[25]
Zr2TlW | Alexandria | PBE | optimized geometry; polymorph energy (0 for the lowest one) = 286 meV per atom; density = 11.4 g/cm³; space-group type = P4mm
1.0
-3.445 -0.126 -0.957
0.499 -3.270 -1.365
-1.502 -2.630 5.751
Tl W Zr
1 1 2
Direct
0.000 0.000 0.511
0.500 0.500 0.765
0.000 0.000 0.980
0.500 0.500 0.244